DFT (PBE-GGA) results for a geometry-optimized PIr2Rh structure.

Cell lengths 4.6306, 4.6306, 4.6306 Å; angles 130.22, 130.22, 73.06 degrees
Fractional positions:
P: 0.0000 0.0000 0.0000
Ir: 0.5000 0.5000 0.0000
Ir: 0.7500 0.2500 0.5000
Rh: 0.2500 0.7500 0.5000

E_form in eV/atom: 0.189
Crystal system: tetragonal
Total energy in eV for the cell shown: -29.73